Density functional theory data (PBE-GGA) for a relaxed TmTl2C2O6 crystal.

Output
SG: C2/m, No. 12
Final energy: -6.90 eV per atom
DOS(E_F): 1.547 states/eV/f.u.
Raw formation energy: -1.682 eV/atom

Unit cell a=5.315 b=5.345 c=8.195 alpha=109.79 beta=90.00 gamma=119.81
Element x y z (fractional)
Tm 0.500 0.000 0.500
Tl 0.679 0.358 0.041
Tl 0.321 0.642 0.959
C 0.891 0.783 0.671
C 0.109 0.217 0.329
O 0.752 0.505 0.673
O 0.249 0.076 0.327
O 0.173 0.924 0.673
O 0.751 0.924 0.673
O 0.827 0.076 0.327
O 0.248 0.495 0.327